# BeW4, relaxed, DFT PBE
# **Offset from the most stable computed form**: 0.0000 eV per atom
# **Magnetic moment**: 0.00 Bohr magnetons per cell
# **Energy relative to the elements**: 0.8453 eV/atom
data_BeW4
_chemical_formula_sum 'Be1 W4'
_cell_length_a 4.2405
_cell_length_b 4.2405
_cell_length_c 4.2405
_cell_angle_alpha 90.00
_cell_angle_beta 90.00
_cell_angle_gamma 90.00
_symmetry_space_group_name_H-M 'P 1'
_symmetry_Int_Tables_number 1
loop_
_symmetry_equiv_pos_as_xyz
'x,y,z'
loop_
_atom_site_label
_atom_site_fract_x
_atom_site_fract_y
_atom_site_fract_z
Be1 0.5000 0.5000 0.5000
W1 0.0000 0.0000 0.0000
W2 0.5000 0.0000 0.5000
W3 0.0000 0.5000 0.5000
W4 0.5000 0.5000 0.0000

# Be2W, relaxed, DFT PBE
# **Offset from the most stable computed form**: 0.0000 eV per atom
# **Magnetic moment**: 0.00 Bohr magnetons per cell
# **Energy relative to the elements**: -0.3132 eV/atom
data_Be2W
_chemical_formula_sum 'Be8 W4'
_cell_length_a 4.4579
_cell_length_b 4.4579
_cell_length_c 7.3355
_cell_angle_alpha 90.00
_cell_angle_beta 90.00
_cell_angle_gamma 120.00
_symmetry_space_group_name_H-M 'P 1'
_symmetry_Int_Tables_number 1
loop_
_symmetry_equiv_pos_as_xyz
'x,y,z'
loop_
_atom_site_label
_atom_site_fract_x
_atom_site_fract_y
_atom_site_fract_z
Be1 0.0000 0.0000 0.0000
Be2 0.0000 0.0000 0.5000
Be3 0.8300 0.6600 0.2500
Be4 0.1700 0.3399 0.7500
Be5 0.3399 0.1700 0.2500
Be6 0.8300 0.1700 0.2500
Be7 0.1700 0.8300 0.7500
Be8 0.6600 0.8300 0.7500
W1 0.3333 0.6667 0.0627
W2 0.6667 0.3333 0.5627
W3 0.6667 0.3333 0.9373
W4 0.3333 0.6667 0.4373